## SrCoN2O (GGA+U)

Data for a relaxed structure of SrCoN2O.

total energy = -4.02 eV/atom
ρ = 2.95 g cm⁻³

Cell lengths 4.8820, 4.8820, 4.4999 Å; angles 90.00, 90.00, 90.00 degrees
Closest atoms and distances in Å follow each position.
Sites, in units of the cell vectors:
1 Sr 0.0000 0.0000 0.0000  2 O 2.25, 4 N 2.44
2 Co 0.5000 0.5000 0.5000  8 N 3.32, 4 O 3.45
3 N 0.0000 0.5000 0.0000  2 Sr 2.44
4 N 0.5000 0.0000 0.0000  2 Sr 2.44
5 O 0.0000 0.0000 0.5000  2 Sr 2.25